The following is a DFT calculation (PBE) of a relaxed TiZn3Pd crystal.

As for the electronic total energy: -36.304 eV per cell. The calculation puts the total moment at 0.8 μB/cell.

The space group is P-1 (No. 2) and the conventional cell measures 4.580, 4.999 and 6.921 Å, with angles of 73.90, 84.55 and 87.01 degrees. Symmetry generates all atoms from Ti at (0.042, 0.405, 0.205), Zn at (0.000, 0.000, 0.000), Zn at (0.051, 0.821, 0.392), Zn at (0.466, 0.292, 0.903), Zn at (0.500, 0.500, 0.500) and Pd at (0.438, 0.878, 0.709).